Record 1
The following is a GGA-PBE calculation of LiMn3Nb after structural relaxation, from Alexandria.

abc: 4.7981 4.7981 4.7981
angles: 90.00 90.00 90.00
Closest atoms and distances in Å follow each position.
Element x y z (fractional)
Nb 0.0000 0.0000 0.0000  6 Mn 2.40
Mn 0.0000 0.5000 0.0000  2 Nb 2.40
Mn 0.0000 0.0000 0.5000  2 Nb 2.40
Mn 0.5000 0.0000 0.0000  2 Nb 2.40
Li 0.5000 0.5000 0.5000  12 Mn 3.39

Summary:
space-group type = Pm-3m
formation energy from the elements = 1157.0 meV per atom


Record 2
The following is a GGA-PBE calculation of Er3ScPb2 after structural relaxation, from Alexandria.

abc: 6.3511 6.3455 9.4548
angles: 109.61 109.62 90.00
Closest atoms and distances in Å follow each position.
Element x y z (fractional)
Er 0.4193 0.6696 0.3392  5 Pb 3.18-3.25
Er 0.5807 0.3304 0.6608  5 Pb 3.18-3.25
Er 0.0802 0.8304 0.6608  5 Pb 3.18-3.25
Er 0.9198 0.1696 0.3392  5 Pb 3.18-3.25
Er 0.5000 0.7500 0.0000  2 Er 3.17, 2 Sc 3.18, 4 Pb 3.25
Er 0.5000 0.2500 0.0000  2 Er 3.17, 2 Sc 3.18, 4 Pb 3.25
Sc 0.0000 0.2500 0.0000  2 Sc 3.17, 2 Er 3.18, 4 Pb 3.21
Sc 0.0000 0.7500 0.0000  2 Sc 3.17, 2 Er 3.18, 4 Pb 3.21
Pb 0.3836 0.1395 0.2790  7 Er 3.18-3.25, 2 Sc 3.21
Pb 0.6164 0.8605 0.7210  7 Er 3.18-3.25, 2 Sc 3.21
Pb 0.1046 0.3605 0.7210  7 Er 3.18-3.25, 2 Sc 3.21
Pb 0.8954 0.6395 0.2790  7 Er 3.18-3.25, 2 Sc 3.21

Summary:
space-group type = Ibam
formation energy from the elements = -411.8 meV per atom


| no. | total moment (μB/f.u.) |
| --- | --- |
| 1 | 9.0 |
| 2 | 0.0 |